[1]
Compound: MgTe2Br
Source: Alexandria
Functional: PBE-GGA
Structure: optimized geometry

a b c (Å): 6.5402 6.5402 5.2333
angles (deg): 79.86 79.86 31.96
Element x y z (fractional)
Br (0.7500, 0.7500, 0.7500)
Mg (0.2500, 0.2500, 0.2500)
Te (0.9471, 0.9471, 0.0845)
Te (0.5529, 0.5529, 0.4155)

ΔE to the lowest computed polymorph   248.9 meV/atom
Raw formation energy   -379 meV per atom
ρ   5.12 Mg/m³
Calculated volume   116 Å³ per cell
Symmetry   C2/m (12)

=====

[2]
Compound: HfZnAs2Se
Source: Alexandria
Functional: PBE-GGA
Structure: optimized geometry

a b c (Å): 5.2013 5.2013 5.1054
angles (deg): 90.00 90.00 90.00
Element x y z (fractional)
As (0.0000, 0.5000, 0.0000)
As (0.5000, 0.0000, 0.0000)
Hf (0.0000, 0.0000, 0.0000)
Zn (0.5000, 0.5000, 0.5000)
Se (0.0000, 0.0000, 0.5000)

ΔE to the lowest computed polymorph   0.0 meV/atom
Raw formation energy   139 meV per atom
ρ   5.68 Mg/m³
Calculated volume   138 Å³ per cell
Symmetry   P4/mmm (123)

=====

[3]
Compound: PmSm3In3
Source: Alexandria
Functional: PBE-GGA
Structure: optimized geometry

a b c (Å): 5.2094 9.6035 9.6035
angles (deg): 120.00 90.00 90.00
Element x y z (fractional)
Pm (0.2500, 0.6667, 0.3333)
Pm (0.7500, 0.3333, 0.6667)
Sm (0.2500, 0.7627, 0.7641)
Sm (0.2500, 0.2359, 0.9986)
Sm (0.2500, 0.0014, 0.2373)
Sm (0.7500, 0.2373, 0.2359)
Sm (0.7500, 0.7641, 0.0014)
Sm (0.7500, 0.9986, 0.7627)
In (0.7500, 0.6139, 0.5458)
In (0.7500, 0.4542, 0.0681)
In (0.7500, 0.9319, 0.3861)
In (0.2500, 0.3861, 0.4542)
In (0.2500, 0.5458, 0.9319)
In (0.2500, 0.0681, 0.6139)

ΔE to the lowest computed polymorph   0.0 meV/atom
Calculated formation energy   -2.4 eV/f.u.
ρ   7.51 Mg/m³
Calculated volume   416 Å³ per cell
Symmetry   P6_3/m (176)

=====

[4]
Compound: TiInCu
Source: Alexandria
Functional: PBE-GGA
Structure: optimized geometry

a b c (Å): 3.0383 5.2949 6.9819
angles (deg): 103.01 77.50 106.57
Element x y z (fractional)
Ti (0.1281, 0.8844, 0.7638)
Ti (0.8193, 0.3479, 0.8479)
Cu (0.1127, 0.2340, 0.1470)
Cu (0.8343, 0.9978, 0.4643)
In (0.5513, 0.4545, 0.4865)
In (0.3959, 0.7774, 0.1252)

Calculated formation energy   -0.1 eV/f.u.
ρ   7.26 Mg/m³
Calculated volume   103 Å³ per cell
Symmetry   P-1 (2)

=====

[5]
Compound: NbZnSb2Pt
Source: Alexandria
Functional: PBE-GGA
Structure: optimized geometry

a b c (Å): 5.3474 4.9648 5.3474
angles (deg): 90.00 90.00 90.00
Element x y z (fractional)
Sb (0.0000, 0.0000, 0.5000)
Sb (0.5000, 0.0000, 0.0000)
Nb (0.0000, 0.0000, 0.0000)
Zn (0.5000, 0.5000, 0.5000)
Pt (0.0000, 0.5000, 0.0000)

Raw formation energy   642 meV per atom
ρ   6.98 Mg/m³
Calculated volume   142 Å³ per cell
Symmetry   P4/mmm (123)

=====

[6]
Compound: In2SiAu
Source: Alexandria
Functional: PBE-GGA
Structure: optimized geometry

a b c (Å): 3.2424 3.2424 7.9910
angles (deg): 90.00 90.00 90.00
Element x y z (fractional)
Au (0.5000, 0.5000, 0.7500)
In (0.0000, 0.0000, 0.9955)
In (0.0000, 0.0000, 0.5045)
Si (0.5000, 0.5000, 0.2500)

Raw formation energy   193 meV per atom
ρ   8.99 Mg/m³
Calculated volume   84 Å³ per cell
Symmetry   P4/mmm (123)

=====

[7]
Compound: Sc3Ta2C4
Source: Alexandria
Functional: PBE-GGA
Structure: optimized geometry

a b c (Å): 3.2917 5.6372 7.1876
angles (deg): 76.16 76.76 73.02
Element x y z (fractional)
Sc (0.0000, 0.0000, 0.0000)
Sc (0.1966, 0.4104, 0.1963)
Sc (0.8034, 0.5896, 0.8037)
Ta (0.6076, 0.1665, 0.6182)
Ta (0.3924, 0.8335, 0.3818)
C (0.8001, 0.0851, 0.3148)
C (0.1999, 0.9149, 0.6852)
C (0.4079, 0.3016, 0.8826)
C (0.5921, 0.6984, 0.1174)

Calculated formation energy   -5.1 eV/f.u.
ρ   7.41 Mg/m³
Calculated volume   122 Å³ per cell
Symmetry   C2/m (12)

=====

[8]
Compound: SmDyCoPt
Source: Alexandria
Functional: PBE-GGA
Structure: optimized geometry

a b c (Å): 4.9002 4.9002 4.9002
angles (deg): 60.00 60.00 60.00
Each line ends with the local moment (μB).
Element x y z (fractional)
Co (0.0000, 0.0000, 0.0000)  0.54
Sm (0.7500, 0.7500, 0.7500)  -0.06
Pt (0.5000, 0.5000, 0.5000)  0.01
Dy (0.2500, 0.2500, 0.2500)  -0.09

Calculated formation energy   -2.4 eV/f.u.
ρ   11.31 Mg/m³
Calculated volume   83 Å³ per cell
Symmetry   F-43m (216)

=====

[9]
Compound: Rb2TlAg2
Source: Alexandria
Functional: PBE-GGA
Structure: optimized geometry

a b c (Å): 10.2741 10.2741 3.5902
angles (deg): 90.00 90.00 90.00
Element x y z (fractional)
Tl (0.0000, 0.0000, 0.0000)
Tl (0.5000, 0.5000, 0.0000)
Rb (0.3567, 0.8567, 0.0000)
Rb (0.8567, 0.6433, 0.0000)
Rb (0.6433, 0.1433, 0.0000)
Rb (0.1433, 0.3567, 0.0000)
Ag (0.1565, 0.6565, 0.5000)
Ag (0.6565, 0.8435, 0.5000)
Ag (0.8435, 0.3435, 0.5000)
Ag (0.3435, 0.1565, 0.5000)

ΔE to the lowest computed polymorph   250.9 meV/atom
Calculated formation energy   1.3 eV/f.u.
ρ   5.18 Mg/m³
Calculated volume   379 Å³ per cell
Symmetry   P4/mbm (127)

=====

[10]
Compound: Ho3Cu4Au2
Source: Alexandria
Functional: PBE-GGA
Structure: optimized geometry

a b c (Å): 4.4143 5.6192 8.3227
angles (deg): 110.99 90.00 113.13
Element x y z (fractional)
Ho (0.6625, 0.3251, 0.6717)
Ho (0.0000, 0.0000, 0.0000)
Ho (0.3375, 0.6749, 0.3283)
Cu (0.7287, 0.4574, 0.0480)
Cu (0.2713, 0.5426, 0.9520)
Cu (0.9428, 0.8855, 0.6017)
Cu (0.0572, 0.1145, 0.3983)
Au (0.6177, 0.2354, 0.2799)
Au (0.3823, 0.7646, 0.7201)

Calculated formation energy   -4.2 eV/f.u.
ρ   10.85 Mg/m³
Calculated volume   175 Å³ per cell
Symmetry   C2/m (12)

=====

[11]
Compound: InOs2Se
Source: Alexandria
Functional: PBE-GGA
Structure: optimized geometry

a b c (Å): 4.5884 4.5884 4.5884
angles (deg): 60.00 60.00 60.00
Element x y z (fractional)
In (0.5000, 0.5000, 0.5000)
Os (0.0000, 0.0000, 0.0000)
Os (0.2500, 0.2500, 0.2500)
Se (0.7500, 0.7500, 0.7500)

ΔE to the lowest computed polymorph   714.2 meV/atom
Raw formation energy   1035 meV per atom
ρ   13.96 Mg/m³
Calculated volume   68 Å³ per cell
Symmetry   F-43m (216)

=====

[12]
Compound: MnFe3
Source: Alexandria
Functional: PBE-GGA
Structure: optimized geometry

a b c (Å): 2.4769 4.3263 4.3558
angles (deg): 99.20 90.00 73.37
Each line ends with the local moment (μB).
Element x y z (fractional)
Fe (0.9968, 0.0064, 0.0023)  1.55
Fe (0.5032, 0.9936, 0.4977)  1.55
Fe (0.7500, 0.5000, 0.7500)  1.81
Mn (0.2500, 0.5000, 0.2500)  -1.88

Calculated formation energy   0.4 eV/f.u.
ρ   8.38 Mg/m³
Calculated volume   44 Å³ per cell
Symmetry   C2/m (12)

=====

[13]
Compound: PrBiRhAu
Source: Alexandria
Functional: PBE-GGA
Structure: optimized geometry

a b c (Å): 5.0609 5.0609 5.0609
angles (deg): 60.00 60.00 60.00
Element x y z (fractional)
Pr (0.7500, 0.7500, 0.7500)
Rh (0.0000, 0.0000, 0.0000)
Au (0.5000, 0.5000, 0.5000)
Bi (0.2500, 0.2500, 0.2500)

Calculated formation energy   -1.8 eV/f.u.
ρ   11.77 Mg/m³
Calculated volume   92 Å³ per cell
Symmetry   F-43m (216)

=====

[14]
Compound: Ac2InPdPt6
Source: Alexandria
Functional: PBE-GGA
Structure: optimized geometry

a b c (Å): 7.0358 7.0358 7.0358
angles (deg): 60.00 60.00 90.00
Element x y z (fractional)
Ac (0.2500, 0.7500, 0.5000)
Ac (0.7500, 0.2500, 0.5000)
In (0.5000, 0.5000, 0.0000)
Pd (0.0000, 0.0000, 0.0000)
Pt (0.2489, 0.7511, 0.0000)
Pt (0.7511, 0.7511, 0.0000)
Pt (0.2489, 0.2489, 0.5022)
Pt (0.7511, 0.2489, 0.0000)
Pt (0.2489, 0.2489, 0.0000)
Pt (0.7511, 0.7511, 0.4978)

Calculated formation energy   -1.0 eV/f.u.
ρ   12.44 Mg/m³
Calculated volume   246 Å³ per cell
Symmetry   Fm-3m (225)

=====

[15]
Compound: Ba2LiTlH
Source: Alexandria
Functional: PBE-GGA
Structure: optimized geometry

a b c (Å): 5.8626 5.8626 4.3600
angles (deg): 90.00 90.00 90.00
Element x y z (fractional)
H (0.0000, 0.0000, 0.0000)
Tl (0.5000, 0.5000, 0.5000)
Ba (0.0000, 0.5000, 0.0000)
Ba (0.5000, 0.0000, 0.0000)
Li (0.0000, 0.0000, 0.5000)

ΔE to the lowest computed polymorph   0.0 meV/atom
ρ   5.40 Mg/m³
Calculated volume   150 Å³ per cell
Symmetry   P4/mmm (123)

=====

[16]
Compound: Sm2MnH
Source: Alexandria
Functional: PBE-GGA
Structure: optimized geometry

a b c (Å): 3.3914 3.3914 8.9966
angles (deg): 79.14 79.14 60.00
Each line ends with the local moment (μB).
Element x y z (fractional)
H (0.5000, 0.5000, 0.5000)  0.00
Mn (0.0000, 0.0000, 0.0000)  3.89
Sm (0.1112, 0.1112, 0.6665)  -0.10
Sm (0.8888, 0.8888, 0.3335)  -0.10

ρ   6.77 Mg/m³
Calculated volume   87 Å³ per cell
E   -5.13 eV per atom
Symmetry   R-3m (166)

=====

[17]
Compound: RbDySiSe4
Source: Alexandria
Functional: PBE-GGA
Structure: optimized geometry

a b c (Å): 6.6798 7.0050 9.4533
angles (deg): 90.00 108.17 90.00
Element x y z (fractional)
Rb (0.7446, 0.7500, 0.9393)
Rb (0.2554, 0.2500, 0.0607)
Dy (0.7724, 0.7500, 0.4507)
Dy (0.2276, 0.2500, 0.5493)
Si (0.2206, 0.7500, 0.3338)
Si (0.7794, 0.2500, 0.6662)
Se (0.0093, 0.5037, 0.7044)
Se (0.9907, 0.0037, 0.2956)
Se (0.9907, 0.4963, 0.2956)
Se (0.0093, 0.9963, 0.7044)
Se (0.4174, 0.7500, 0.1772)
Se (0.5826, 0.2500, 0.8228)
Se (0.4293, 0.7500, 0.5749)
Se (0.5707, 0.2500, 0.4251)

Raw formation energy   -1226 meV per atom
ρ   4.68 Mg/m³
Calculated volume   420 Å³ per cell
Symmetry   P2_1/m (11)

=====

[18]
Compound: Y5Mg2Co2
Source: Alexandria
Functional: PBE-GGA
Structure: optimized geometry

a b c (Å): 7.2223 7.2924 9.4213
angles (deg): 90.00 67.46 90.00
Element x y z (fractional)
Y (0.0000, 0.0000, 0.0000)
Y (0.5000, 0.5000, 0.0000)
Y (0.4253, 0.1865, 0.7733)
Y (0.8014, 0.8135, 0.7733)
Y (0.3014, 0.6865, 0.7733)
Y (0.9253, 0.3135, 0.7733)
Y (0.5747, 0.8135, 0.2267)
Y (0.1986, 0.1865, 0.2267)
Y (0.6986, 0.3135, 0.2267)
Y (0.0747, 0.6865, 0.2267)
Mg (0.2314, 0.0000, 0.5372)
Mg (0.7314, 0.5000, 0.5372)
Mg (0.7686, 0.0000, 0.4628)
Mg (0.2686, 0.5000, 0.4628)
Co (0.1081, 0.3902, 0.0000)
Co (0.8919, 0.6098, 0.0000)
Co (0.3919, 0.8902, 0.0000)
Co (0.6081, 0.1098, 0.0000)

Calculated formation energy   -0.9 eV/f.u.
ρ   4.43 Mg/m³
Calculated volume   458 Å³ per cell
Symmetry   Cmce (64)

=====

[19]
Compound: K3HfBi
Source: Alexandria
Functional: PBE-GGA
Structure: optimized geometry

a b c (Å): 6.5020 6.5020 6.5020
angles (deg): 90.00 90.00 90.00
Each line ends with the local moment (μB).
Element x y z (fractional)
K (0.0000, 0.5000, 0.0000)  0.04
K (0.0000, 0.0000, 0.5000)  0.04
K (0.5000, 0.0000, 0.0000)  0.03
Hf (0.0000, 0.0000, 0.0000)  1.58
Bi (0.5000, 0.5000, 0.5000)  -0.70

ΔE to the lowest computed polymorph   284.1 meV/atom
Calculated formation energy   6.1 eV/f.u.
ρ   3.05 Mg/m³
Calculated volume   275 Å³ per cell
Symmetry   Pm-3m (221)

=====

[20]
Compound: TlTe2P3
Source: Alexandria
Functional: PBE-GGA
Structure: optimized geometry

a b c (Å): 7.8618 7.8618 6.0718
angles (deg): 90.00 90.00 155.12
Element x y z (fractional)
Tl (0.0000, 0.0000, 0.0000)
Te (0.1298, 0.8702, 0.5000)
Te (0.8702, 0.1298, 0.5000)
P (0.2948, 0.7052, 0.0000)
P (0.7052, 0.2948, 0.0000)
P (0.5000, 0.5000, 0.5000)

Raw formation energy   239 meV per atom
ρ   5.81 Mg/m³
Calculated volume   158 Å³ per cell
Symmetry   Cmmm (65)